(1)
Material: Pm3SmEr2S6
Method: DFT, PBE
State: optimized geometry

Values from the calculation:
ΔE_f (raw) (eV/f.u.): -24.13

```
Pm3SmEr2S6
1.0
3.426 -5.953 0.000
3.426 5.953 0.000
-2.290 0.000 6.526
Pm Sm Er S
3 1 2 6
direct
0.000 0.000 0.000 Pm
0.337 0.663 0.000 Pm
0.663 0.337 0.000 Pm
0.500 0.500 0.500 Sm
0.166 0.834 0.500 Er
0.834 0.166 0.500 Er
0.079 0.420 0.261 S
0.237 0.237 0.736 S
0.420 0.079 0.261 S
0.580 0.921 0.739 S
0.763 0.763 0.264 S
0.921 0.580 0.739 S
```

(2)
Material: PmSmEr2S6
Method: DFT, PBE
State: optimized geometry

Values from the calculation:
ΔE_f (raw) (eV/f.u.): -20.46

```
PmSmEr2S6
1.0
3.492 2.016 6.170
-3.492 2.016 6.170
0.000 -4.032 6.170
Pm Sm Er S
1 1 2 6
direct
0.000 0.000 0.000 Pm
0.499 0.499 0.499 Sm
0.295 0.295 0.295 Er
0.796 0.796 0.796 Er
0.085 0.680 0.413 S
0.183 0.585 0.910 S
0.413 0.085 0.680 S
0.585 0.910 0.183 S
0.680 0.413 0.085 S
0.910 0.183 0.585 S
```

(3)
Material: SrPmEr2S4
Method: DFT, PBE
State: optimized geometry

Values from the calculation:
ΔE_f (raw) (eV/f.u.): -15.97

```
SrPmEr2S4
1.0
6.921 0.000 0.000
0.000 3.963 0.000
-2.261 0.000 6.576
Sr Pm Er S
1 1 2 4
direct
0.000 0.000 0.000 Sr
0.500 0.500 0.000 Pm
0.000 0.500 0.500 Er
0.500 0.000 0.500 Er
0.246 0.000 0.732 S
0.260 0.500 0.271 S
0.740 0.500 0.729 S
0.754 0.000 0.268 S
```

> What is the ΔE_f (raw) in the third record?

-15.97 eV/f.u.